(1)
RbIn3Br6 | PBE | relaxed

## Properties
energy = -2.865 eV/atom

Cell: 7.552 8.969 13.161 Å, 90.00 121.28 90.00°
Atoms (fractional coordinates):
1 Rb 0.000 0.000 0.000
2 Rb 0.000 0.500 0.500
3 In 0.197 0.061 0.721
4 In 0.197 0.439 0.221
5 In 0.500 0.000 0.500
6 In 0.500 0.500 0.000
7 In 0.803 0.561 0.779
8 In 0.803 0.939 0.279
9 Br 0.167 0.157 0.476
10 Br 0.167 0.343 0.976
11 Br 0.251 0.743 0.901
12 Br 0.251 0.757 0.401
13 Br 0.411 0.094 0.282
14 Br 0.411 0.406 0.782
15 Br 0.589 0.594 0.218
16 Br 0.589 0.906 0.718
17 Br 0.749 0.243 0.599
18 Br 0.749 0.257 0.099
19 Br 0.833 0.657 0.024
20 Br 0.833 0.843 0.524

***

(2)
GdIn3Co | PBE | relaxed

## Properties
energy of formation from the pure elements = -109 meV per atom

Cell: 4.922 4.922 4.922 Å, 90.00 90.00 90.00°
Atoms (fractional coordinates):
1 Gd 0.000 0.000 0.000
2 In 0.000 0.500 0.500
3 In 0.500 0.000 0.500
4 In 0.500 0.500 0.000
5 Co 0.500 0.500 0.500

***

(3)
CeUTcNi | PBE | relaxed

## Properties
energy of formation from the pure elements = -68 meV per atom

Cell: 4.600 4.600 4.600 Å, 60.00 60.00 60.00°
Atoms (fractional coordinates):
1 Ce 0.000 0.000 0.000
2 U 0.750 0.750 0.750
3 Tc 0.500 0.500 0.500
4 Ni 0.250 0.250 0.250